[1]
The following is a PBE calculation of an optimized crystal structure of Tb3Cd2Pd2, from Alexandria via LeMat-Bulk.

a = 4.064 Å, b = 3.691 Å, c = 11.382 Å
α = 90.00°, β = 79.72°, γ = 90.00°
Fractional positions:
1 Tb 0.830 0.000 0.339
2 Tb 0.000 0.000 0.000
3 Tb 0.170 0.000 0.661
4 Cd 0.580 0.500 0.839
5 Cd 0.420 0.500 0.161
6 Pd 0.710 0.500 0.580
7 Pd 0.290 0.500 0.420

Values from the calculation:
Space group   No. 65
Energy of formation   -0.614 eV/atom
Energy   -4.34 eV per atom
N(E_F)   4.98 states/eV/f.u.



[2]
The following is a PBE calculation of an optimized crystal structure of Tb3Cd9Pd2, from Alexandria via LeMat-Bulk.

a = 4.839 Å, b = 8.498 Å, c = 8.498 Å
α = 77.22°, β = 73.46°, γ = 73.46°
Fractional positions:
1 Tb 0.000 0.000 0.000
2 Tb 0.702 0.298 0.298
3 Tb 0.298 0.702 0.702
4 Cd 0.000 0.500 0.500
5 Cd 0.637 0.996 0.730
6 Cd 0.363 0.004 0.270
7 Cd 0.637 0.730 0.996
8 Cd 0.363 0.270 0.004
9 Cd 0.865 0.859 0.411
10 Cd 0.135 0.141 0.589
11 Cd 0.865 0.411 0.859
12 Cd 0.135 0.589 0.141
13 Pd 0.500 0.353 0.647
14 Pd 0.500 0.647 0.353

Values from the calculation:
Space group   No. 71
Energy of formation   -0.339 eV/atom
Energy   -2.66 eV per atom
N(E_F)   12.10 states/eV/f.u.



[3]
The following is a PBE calculation of an optimized crystal structure of Tb2Cd2Pd7, from Alexandria via LeMat-Bulk.

a = 5.794 Å, b = 7.100 Å, c = 5.794 Å
α = 90.00°, β = 103.27°, γ = 90.00°
Fractional positions:
1 Tb 0.698 0.000 0.302
2 Tb 0.302 0.000 0.698
3 Cd 0.815 0.500 0.815
4 Cd 0.185 0.500 0.185
5 Pd 0.000 0.294 0.500
6 Pd 0.500 0.706 0.000
7 Pd 0.000 0.706 0.500
8 Pd 0.500 0.294 0.000
9 Pd 0.000 0.000 0.000
10 Pd 0.500 0.706 0.500
11 Pd 0.500 0.294 0.500

Values from the calculation:
Space group   No. 12
Energy of formation   -0.226 eV/atom
Energy   -4.54 eV per atom
N(E_F)   4.73 states/eV/f.u.



[4]
The following is a PBE calculation of an optimized crystal structure of Tb2Cd3Pd7, from Alexandria via LeMat-Bulk.

a = 4.549 Å, b = 4.725 Å, c = 11.510 Å
α = 101.87°, β = 90.00°, γ = 90.01°
Fractional positions:
1 Tb 0.500 0.650 0.301
2 Tb 0.500 0.350 0.699
3 Cd 0.500 0.500 0.000
4 Cd 0.000 0.146 0.292
5 Cd 0.000 0.854 0.708
6 Pd 0.500 0.218 0.436
7 Pd 0.500 0.782 0.564
8 Pd 0.000 0.572 0.144
9 Pd 0.000 0.000 0.000
10 Pd 0.000 0.428 0.856
11 Pd 0.500 0.928 0.856
12 Pd 0.500 0.072 0.144

Values from the calculation:
Space group   No. 65
Energy of formation   -0.444 eV/atom
Energy   -4.47 eV per atom
N(E_F)   4.88 states/eV/f.u.



[5]
The following is a PBE calculation of an optimized crystal structure of Tb3CdPd5, from Alexandria via LeMat-Bulk.

a = 8.202 Å, b = 8.202 Å, c = 8.173 Å
α = 120.12°, β = 120.12°, γ = 90.00°
Fractional positions:
1 Tb 0.629 0.129 0.000
2 Tb 0.371 0.871 0.000
3 Tb 0.871 0.629 0.000
4 Tb 0.129 0.371 0.000
5 Tb 0.250 0.250 0.500
6 Tb 0.750 0.750 0.500
7 Cd 0.750 0.250 0.500
8 Cd 0.250 0.750 0.500
9 Pd 0.060 0.560 0.728
10 Pd 0.668 0.168 0.728
11 Pd 0.168 0.060 0.728
12 Pd 0.560 0.668 0.728
13 Pd 0.940 0.440 0.272
14 Pd 0.332 0.832 0.272
15 Pd 0.832 0.940 0.272
16 Pd 0.440 0.332 0.272
17 Pd 0.500 0.500 0.000
18 Pd 0.000 0.000 0.000

Values from the calculation:
Space group   No. 140
Energy of formation   -0.512 eV/atom
Energy   -5.04 eV per atom
N(E_F)   4.93 states/eV/f.u.



[6]
The following is a PBE calculation of an optimized crystal structure of Tb2CdPd, from Alexandria via LeMat-Bulk.

a = 3.350 Å, b = 3.350 Å, c = 10.735 Å
α = 81.02°, β = 81.02°, γ = 60.00°
Fractional positions:
1 Tb 0.083 0.083 0.750
2 Tb 0.917 0.917 0.250
3 Pd 0.000 0.000 0.000
4 Cd 0.500 0.500 0.500

Values from the calculation:
Space group   No. 166
Energy of formation   -0.007 eV/atom
Energy   -3.85 eV per atom
N(E_F)   3.33 states/eV/f.u.



[7]
The following is a PBE calculation of an optimized crystal structure of TbCd2Pd3, from Alexandria via LeMat-Bulk.

a = 4.755 Å, b = 4.755 Å, c = 11.590 Å
α = 90.01°, β = 89.99°, γ = 120.01°
Fractional positions:
1 Tb 0.333 0.667 0.670
2 Tb 0.667 0.333 0.330
3 Cd 0.000 0.000 0.500
4 Cd 0.333 0.667 0.162
5 Cd 0.667 0.333 0.838
6 Cd 0.000 0.000 0.000
7 Pd 0.333 0.667 0.416
8 Pd 0.667 0.333 0.082
9 Pd 0.000 0.000 0.759
10 Pd 0.000 0.000 0.241
11 Pd 0.333 0.667 0.918
12 Pd 0.667 0.333 0.584

Values from the calculation:
Space group   No. 164
Energy of formation   -0.608 eV/atom
Energy   -4.28 eV per atom
N(E_F)   2.69 states/eV/f.u.



[8]
The following is a PBE calculation of an optimized crystal structure of Tb3CdPd6, from Alexandria via LeMat-Bulk.

a = 4.913 Å, b = 8.147 Å, c = 10.561 Å
α = 113.86°, β = 90.00°, γ = 90.00°
Fractional positions:
1 Tb 0.250 0.528 0.378
2 Tb 0.750 0.472 0.622
3 Tb 0.250 0.334 0.786
4 Tb 0.750 0.666 0.214
5 Tb 0.250 0.793 0.984
6 Tb 0.750 0.207 0.016
7 Cd 0.250 0.943 0.566
8 Cd 0.750 0.057 0.434
9 Pd 0.250 0.468 0.082
10 Pd 0.750 0.532 0.918
11 Pd 0.250 0.164 0.172
12 Pd 0.750 0.836 0.828
13 Pd 0.250 0.670 0.678
14 Pd 0.750 0.330 0.322
15 Pd 0.250 0.255 0.479
16 Pd 0.750 0.745 0.521
17 Pd 0.250 0.887 0.282
18 Pd 0.750 0.113 0.718
19 Pd 0.250 0.043 0.858
20 Pd 0.750 0.957 0.142

Values from the calculation:
Space group   No. 11
Energy of formation   -0.770 eV/atom
Energy   -5.37 eV per atom
N(E_F)   4.92 states/eV/f.u.



[9]
The following is a PBE calculation of an optimized crystal structure of TbCdPd, from Alexandria via LeMat-Bulk.

a = 4.722 Å, b = 4.722 Å, c = 4.722 Å
α = 60.00°, β = 60.00°, γ = 60.00°
Fractional positions:
1 Tb 0.000 0.000 0.000
2 Pd 0.250 0.250 0.250
3 Cd 0.500 0.500 0.500

Values from the calculation:
Space group   No. 216
Energy of formation   -0.559 eV/atom
Energy   -4.14 eV per atom
N(E_F)   1.58 states/eV/f.u.



[10]
The following is a PBE calculation of an optimized crystal structure of Tb2CdPd5, from Alexandria via LeMat-Bulk.

a = 6.111 Å, b = 6.111 Å, c = 5.844 Å
α = 121.52°, β = 121.52°, γ = 90.00°
Fractional positions:
1 Tb 0.222 0.722 0.444
2 Tb 0.722 0.222 0.444
3 Cd 0.222 0.222 0.444
4 Pd 0.722 0.222 0.944
5 Pd 0.222 0.222 0.944
6 Pd 0.722 0.722 0.944
7 Pd 0.222 0.722 0.944
8 Pd 0.722 0.722 0.444

Values from the calculation:
Space group   No. 139
Energy of formation   -0.770 eV/atom
Energy   -5.29 eV per atom
N(E_F)   2.45 states/eV/f.u.



[11]
The following is a PBE calculation of an optimized crystal structure of TbCd7Pd4, from Alexandria via LeMat-Bulk.

a = 5.236 Å, b = 8.457 Å, c = 6.621 Å
α = 80.84°, β = 66.71°, γ = 71.97°
Fractional positions:
1 Tb 0.000 0.000 0.000
2 Cd 0.785 0.875 0.555
3 Cd 0.215 0.125 0.445
4 Cd 0.064 0.632 0.241
5 Cd 0.936 0.368 0.759
6 Cd 0.331 0.595 0.744
7 Cd 0.500 0.000 0.000
8 Cd 0.669 0.405 0.256
9 Pd 0.577 0.214 0.631
10 Pd 0.423 0.786 0.369
11 Pd 0.694 0.669 0.943
12 Pd 0.306 0.331 0.057

Values from the calculation:
Space group   No. 12
Energy of formation   -0.126 eV/atom
Energy   -2.78 eV per atom
N(E_F)   5.64 states/eV/f.u.



[12]
The following is a PBE calculation of an optimized crystal structure of TbCd8Pd4, from Alexandria via LeMat-Bulk.

a = 5.726 Å, b = 7.348 Å, c = 7.348 Å
α = 81.27°, β = 67.07°, γ = 67.07°
Fractional positions:
1 Tb 0.000 0.000 0.000
2 Cd 0.000 0.338 0.662
3 Cd 0.000 0.662 0.338
4 Cd 0.338 0.662 0.662
5 Cd 0.662 0.338 0.338
6 Cd 0.500 0.782 0.218
7 Cd 0.500 0.218 0.782
8 Cd 0.282 0.218 0.218
9 Cd 0.718 0.782 0.782
10 Pd 0.000 0.000 0.500
11 Pd 0.500 0.000 0.500
12 Pd 0.000 0.500 0.000
13 Pd 0.500 0.500 0.000

Values from the calculation:
Space group   No. 139
Energy of formation   -0.346 eV/atom
Energy   -2.86 eV per atom
N(E_F)   7.00 states/eV/f.u.



> Which formula does entry 9 have?

TbCdPd



> Number 5 is which compound?

Tb3CdPd5